Material: Tb2Pr5Dy
Method: DFT, PBE
State: relaxed

The structure in POSCAR format:
```
Tb2Pr5Dy
1.0
-5.902 -6.366 4.665
6.247 -5.268 5.509
-0.384 -5.288 12.417
Tb Pr Dy
4 10 2
direct
0.500 0.000 0.000
0.500 0.500 0.000
0.500 0.500 0.500
0.000 0.500 0.500
0.509 0.491 0.750
0.491 0.509 0.250
0.458 0.984 0.767
0.001 0.984 0.132
0.984 0.458 0.267
0.016 0.999 0.368
0.984 0.001 0.632
0.999 0.016 0.868
0.016 0.542 0.733
0.542 0.016 0.233
0.759 0.241 0.250
0.241 0.759 0.750
```

Space group ... No. 15
Energy relative to the elements ... 158 kJ/mol of formula units
Polymorph energy (0 for the lowest one) ... 1.51 eV/f.u.

Material: Y3ErSb3
Method: DFT, PBE
State: relaxed

The structure in POSCAR format:
```
Y3ErSb3
1.0
9.188 0.000 0.000
0.000 9.188 0.000
0.000 0.000 9.188
Y Er Sb
12 4 12
direct
0.823 0.323 0.177
0.929 0.929 0.929
0.822 0.678 0.322
0.177 0.823 0.323
0.178 0.178 0.178
0.322 0.822 0.678
0.071 0.429 0.571
0.323 0.177 0.823
0.678 0.322 0.822
0.677 0.677 0.677
0.571 0.071 0.429
0.429 0.571 0.071
0.073 0.573 0.927
0.927 0.073 0.573
0.427 0.427 0.427
0.573 0.927 0.073
0.752 0.626 0.999
0.874 0.001 0.252
0.999 0.752 0.626
0.126 0.501 0.248
0.248 0.126 0.501
0.252 0.874 0.001
0.001 0.252 0.874
0.374 0.499 0.748
0.501 0.248 0.126
0.626 0.999 0.752
0.748 0.374 0.499
0.499 0.748 0.374
```

Space group ... No. 198
E_form (uncorrected) ... -1.009 eV/atom
Polymorph energy (0 for the lowest one) ... 0.00 eV/f.u.

Material: ZrIn2Mo
Method: DFT, PBE
State: relaxed

The structure in POSCAR format:
```
ZrIn2Mo
1.0
5.419 0.008 -0.021
4.600 2.865 -0.021
0.658 0.189 5.278
In Mo Zr
2 1 1
direct
0.999 0.999 0.004
0.754 0.754 0.742
0.497 0.497 0.500
0.249 0.249 0.254
```

Space group ... No. 8
Energy relative to the elements ... 67 kJ/mol of formula units
Polymorph energy (0 for the lowest one) ... 0.55 eV/f.u.

Material: SrNb2F
Method: DFT, PBE
State: relaxed

The structure in POSCAR format:
```
SrNb2F
1.0
-0.686 4.810 -3.825
2.457 -3.313 -4.607
-4.004 -1.014 -5.556
Sr Nb F
2 4 2
direct
0.000 0.000 0.000
0.750 0.250 0.500
0.375 0.125 0.250
0.375 0.625 0.250
0.375 0.625 0.750
0.875 0.625 0.750
0.500 0.500 0.000
0.250 0.750 0.500
```

Space group ... No. 141
E_form (uncorrected) ... 0.253 eV/atom
Polymorph energy (0 for the lowest one) ... 0.00 eV/f.u.

Material: YNpRe
Method: DFT, PBE
State: relaxed

The structure in POSCAR format:
```
YNpRe
1.0
-2.142 -2.317 -2.674
2.611 -6.042 -0.056
-3.937 -3.014 2.565
Re Np Y
2 2 2
direct
0.347 0.215 0.090
0.653 0.785 0.910
0.641 0.444 0.273
0.359 0.556 0.727
0.915 0.865 0.305
0.085 0.135 0.695
```

Space group ... No. 12
Energy relative to the elements ... 75 kJ/mol of formula units

Material: AgSb2TeN
Method: DFT, PBE
State: relaxed

The structure in POSCAR format:
```
AgSb2TeN
1.0
-3.189 2.922 -2.164
-2.926 -3.771 -0.779
-2.085 0.769 4.110
Sb Te Ag N
2 1 1 1
direct
0.000 0.500 0.000
0.500 0.000 0.000
0.000 0.000 0.500
0.500 0.500 0.500
0.000 0.000 0.000
```

Space group ... No. 123
E_form (uncorrected) ... 0.661 eV/atom
Polymorph energy (0 for the lowest one) ... 0.00 eV/f.u.

Material: Sr2MgAg6Sn
Method: DFT, PBE
State: relaxed

The structure in POSCAR format:
```
Sr2MgAg6Sn
1.0
-2.669 -5.649 3.822
5.154 -3.531 -3.829
2.590 -4.214 5.409
Sr Mg Ag Sn
2 1 6 1
direct
0.260 0.796 0.464
0.740 0.204 0.536
0.500 0.500 0.000
0.252 0.746 0.005
0.751 0.578 0.166
0.250 0.258 0.494
0.748 0.254 0.995
0.249 0.422 0.834
0.750 0.742 0.506
0.000 0.000 0.000
```

Space group ... No. 2
Energy relative to the elements ... -169 kJ/mol of formula units

Material: InGeSbN2
Method: DFT, PBE
State: relaxed

The structure in POSCAR format:
```
InGeSbN2
1.0
-3.858 -1.357 0.034
0.125 -0.205 6.066
-1.355 3.856 0.158
Sb Ge N In
1 1 2 1
direct
0.000 0.000 0.000
0.500 0.500 0.500
0.000 0.000 0.500
0.500 0.000 0.000
0.000 0.500 0.000
```

Space group ... No. 123
E_form (uncorrected) ... 1.373 eV/atom

Material: LiLa2Sn3Ir4
Method: DFT, PBE
State: relaxed

The structure in POSCAR format:
```
LiLa2Sn3Ir4
1.0
4.305 0.000 0.000
0.000 4.305 0.000
0.000 0.000 11.577
Li La Sn Ir
1 2 3 4
direct
0.500 0.500 0.500
0.500 0.000 0.258
0.000 0.500 0.742
0.000 0.000 0.500
0.500 0.000 0.870
0.000 0.500 0.130
0.500 0.500 0.000
0.000 0.000 0.000
0.500 0.000 0.642
0.000 0.500 0.358
```

Space group ... No. 115
Energy relative to the elements ... -542 kJ/mol of formula units

Material: Ac2In3Pt4
Method: DFT, PBE
State: relaxed

The structure in POSCAR format:
```
Ac2In3Pt4
1.0
6.163 0.000 0.000
0.000 7.797 0.000
-3.081 0.000 8.570
Ac In Pt
4 6 8
direct
0.104 0.587 0.209
0.896 0.413 0.791
0.396 0.087 0.791
0.604 0.913 0.209
0.000 0.000 0.000
0.500 0.500 0.000
0.519 0.750 0.539
0.981 0.250 0.461
0.481 0.250 0.461
0.019 0.750 0.539
0.683 0.750 0.867
0.817 0.250 0.133
0.317 0.250 0.133
0.183 0.750 0.867
0.171 0.972 0.342
0.829 0.028 0.658
0.329 0.472 0.658
0.671 0.528 0.342
```

Space group ... No. 64
Energy relative to the elements ... -701 kJ/mol of formula units

Material: LiMg4H13Os2
Method: DFT, PBE
State: relaxed

The structure in POSCAR format:
```
LiMg4H13Os2
1.0
-1.864 -3.203 2.877
1.070 -1.156 -4.419
16.838 -4.967 5.378
Li Mg H Os
2 8 26 4
direct
0.333 0.667 0.250
0.667 0.333 0.750
0.000 0.000 0.351
0.000 0.000 0.649
0.000 0.000 0.851
0.000 0.000 0.149
0.333 0.667 0.947
0.667 0.333 0.053
0.667 0.333 0.447
0.333 0.667 0.553
0.164 0.836 0.449
0.164 0.327 0.449
0.673 0.836 0.449
0.836 0.164 0.551
0.836 0.673 0.551
0.327 0.164 0.551
0.836 0.164 0.949
0.836 0.673 0.949
0.327 0.164 0.949
0.164 0.836 0.051
0.164 0.327 0.051
0.673 0.836 0.051
0.500 0.500 0.839
0.500 0.999 0.839
0.001 0.500 0.839
0.500 0.500 0.161
0.500 0.001 0.161
0.999 0.500 0.161
0.500 0.500 0.339
0.500 0.001 0.339
0.999 0.500 0.339
0.500 0.500 0.661
0.500 0.999 0.661
0.001 0.500 0.661
0.000 0.000 0.250
0.000 0.000 0.750
0.333 0.667 0.395
0.667 0.333 0.605
0.667 0.333 0.895
0.333 0.667 0.105
```

Space group ... No. 194
DFT total energy ... -4.075 eV/atom

Material: ZrPt
Method: DFT, PBE
State: relaxed

The structure in POSCAR format:
```
ZrPt
1.0
5.412 0.000 0.000
0.000 5.412 0.000
0.000 0.000 5.412
Zr Pt
4 4
direct
0.078 0.078 0.078
0.422 0.922 0.578
0.922 0.578 0.422
0.578 0.422 0.922
0.432 0.432 0.432
0.068 0.568 0.932
0.568 0.932 0.068
0.932 0.068 0.568
```

Space group ... No. 198
Energy relative to the elements ... -167 kJ/mol of formula units

Material: KYHf
Method: DFT, PBE
State: relaxed

The structure in POSCAR format:
```
KYHf
1.0
10.401 0.000 0.000
0.000 3.289 0.000
0.000 0.000 11.608
Y K Hf
4 4 4
direct
0.894 0.250 0.409
0.606 0.750 0.909
0.106 0.750 0.591
0.394 0.250 0.091
0.951 0.250 0.869
0.549 0.750 0.369
0.049 0.750 0.131
0.451 0.250 0.631
0.210 0.250 0.374
0.290 0.750 0.874
0.790 0.750 0.626
0.710 0.250 0.126
```

Space group ... No. 62
Energy relative to the elements ... 223 kJ/mol of formula units
Polymorph energy (0 for the lowest one) ... 1.38 eV/f.u.

Material: La2CrFe
Method: DFT, PBE
State: relaxed

The structure in POSCAR format:
```
La2CrFe
1.0
-1.139 -2.026 -2.729
3.388 -0.458 -1.073
0.529 -5.996 4.230
Cr Fe La
1 1 2
direct
0.000 0.000 0.592
0.500 0.500 0.657
0.000 0.000 0.902
0.500 0.500 0.349
```

Space group ... No. 99
Energy relative to the elements ... 187 kJ/mol of formula units
Polymorph energy (0 for the lowest one) ... 0.51 eV/f.u.

Material: SrMg3Cu
Method: DFT, PBE
State: relaxed

The structure in POSCAR format:
```
SrMg3Cu
1.0
6.566 0.000 0.000
0.000 6.566 0.000
0.000 0.000 6.566
Sr Mg Cu
1 3 1
direct
0.000 0.000 0.000
0.000 0.500 0.000
0.000 0.000 0.500
0.500 0.000 0.000
0.500 0.500 0.500
```

Space group ... No. 221
Energy relative to the elements ... 622 kJ/mol of formula units
Polymorph energy (0 for the lowest one) ... 6.73 eV/f.u.

Material: Ba4YMg5
Method: DFT, PBE
State: relaxed

The structure in POSCAR format:
```
Ba4YMg5
1.0
4.166 0.000 0.000
0.000 4.166 0.000
0.000 0.000 21.909
Ba Y Mg
4 1 5
direct
0.000 0.000 0.183
0.000 0.000 0.395
0.000 0.000 0.605
0.000 0.000 0.817
0.000 0.000 0.000
0.500 0.500 0.074
0.500 0.500 0.290
0.500 0.500 0.500
0.500 0.500 0.710
0.500 0.500 0.926
```

Space group ... No. 123
Energy relative to the elements ... -42 kJ/mol of formula units

Material: RbCo4Se8
Method: DFT, PBE
State: relaxed

The structure in POSCAR format:
```
RbCo4Se8
1.0
6.489 -0.001 2.189
2.877 5.817 2.189
0.476 0.295 9.507
Rb Co Se
1 4 8
direct
0.500 0.500 0.500
0.500 0.000 0.000
0.500 0.500 0.000
0.000 0.500 0.000
0.000 0.000 0.000
0.781 0.281 0.153
0.719 0.219 0.847
0.219 0.719 0.847
0.218 0.218 0.847
0.281 0.281 0.154
0.719 0.719 0.846
0.782 0.782 0.153
0.281 0.781 0.153
```

Space group ... No. 12
E_form (uncorrected) ... -0.403 eV/atom

Material: K3Er2TlS6
Method: DFT, PBE
State: relaxed

The structure in POSCAR format:
```
K3Er2TlS6
1.0
-1.567 -3.469 5.843
5.607 -1.811 -3.731
2.786 6.482 3.210
K Er Tl S
3 2 1 6
direct
0.164 0.836 0.500
0.836 0.164 0.500
0.500 0.500 0.500
0.333 0.667 0.000
0.667 0.333 0.000
0.000 0.000 0.000
0.932 0.594 0.797
0.729 0.729 0.202
0.068 0.406 0.203
0.594 0.932 0.797
0.271 0.271 0.798
0.406 0.068 0.203
```

Space group ... No. 12
E_form (uncorrected) ... -1.423 eV/atom

Material: ZrBeHg3
Method: DFT, PBE
State: relaxed

The structure in POSCAR format:
```
ZrBeHg3
1.0
4.672 0.000 0.000
0.000 4.672 0.000
0.000 0.000 4.672
Be Hg Zr
1 3 1
direct
0.000 0.000 0.000
0.000 0.500 0.000
0.000 0.000 0.500
0.500 0.000 0.000
0.500 0.500 0.500
```

Space group ... No. 221
Energy relative to the elements ... 161 kJ/mol of formula units
Polymorph energy (0 for the lowest one) ... 0.00 eV/f.u.

Material: ZnSb2TeO
Method: DFT, PBE
State: relaxed

The structure in POSCAR format:
```
ZnSb2TeO
1.0
-1.286 -1.881 -4.667
-1.524 -4.445 2.211
-4.730 1.891 0.541
Sb Zn Te O
2 1 1 1
direct
0.000 0.500 0.000
0.500 0.000 0.000
0.000 0.000 0.000
0.000 0.000 0.500
0.500 0.500 0.500
```

Space group ... No. 123
E_form (uncorrected) ... 0.958 eV/atom
Polymorph energy (0 for the lowest one) ... 4.02 eV/f.u.